Record 1
{"formula": "Y2HgPtC", "functional": "PBE", "state": "relaxed", "final_energy_ev_per_cell": -31.2, "formation_energy_ev_per_atom": -0.54, "crystal_system": "tetragonal", "lattice": [[5.084, 0.000, 0.000], [0.000, 5.084, 0.000], [0.000, 0.000, 3.959]], "species": ["Y", "Y", "Hg", "Pt", "C"], "frac_coords": [[0.000, 0.500, 0.000], [0.500, 0.000, 0.000], [0.000, 0.000, 0.500], [0.500, 0.500, 0.500], [0.500, 0.500, 0.000]]}

=====

Record 2
{"formula": "ErPuMnOs", "functional": "PBE", "state": "relaxed", "final_energy_ev_per_cell": -39.5, "formation_energy_ev_per_atom": -0.06, "crystal_system": "cubic", "lattice": [[0.000, 3.395, 3.395], [3.395, 0.000, 3.395], [3.395, 3.395, 0.000]], "species": ["Er", "Pu", "Mn", "Os"], "frac_coords": [[0.000, 0.000, 0.000], [0.500, 0.500, 0.500], [0.750, 0.750, 0.750], [0.250, 0.250, 0.250]]}